(1)
Here is a relaxed LiAg5Se3 crystal from Alexandria via LeMat-Bulk. Energies are from PBE.

The structure belongs to space group C2/c (No. 15); the cell edges are 14.541, 6.260 and 9.041 Å and the angles 90.00°, 109.93° and 90.00°. The distinct sites, in fractional coordinates, are Li at (0.000, 0.222, 0.250), Ag at (0.000, 0.272, 0.750), Ag at (0.163, 0.254, 0.620), Ag at (0.173, 0.235, 0.074), Se at (0.000, 0.000, 0.000) and Se at (0.162, 0.459, 0.344).

The formation energy (no corrections) is -2.2 eV per formula unit.

(2)
Here is a relaxed LiAgSe crystal from Alexandria via LeMat-Bulk. Energies are from PBE.

The structure belongs to space group I4mm (No. 107); the cell edges are 3.766, 3.766 and 7.832 Å and the angles 90.00°, 90.00° and 90.00°. The distinct sites, in fractional coordinates, are Li at (0.000, 0.000, 0.000), Ag at (0.000, 0.000, 0.669) and Se at (0.000, 0.000, 0.332).

The formation energy (no corrections) is -1.5 eV per formula unit.

(3)
Here is a relaxed Li2AgSe crystal from Alexandria via LeMat-Bulk. Energies are from PBE.

The structure belongs to space group C2/m (No. 12); the cell edges are 7.264, 2.876 and 7.011 Å and the angles 90.00°, 97.89° and 90.00°. The distinct sites, in fractional coordinates, are Li at (0.243, 0.000, 0.219), Ag at (0.000, 0.000, 0.500) and Se at (0.000, 0.500, 0.000).

The formation energy (no corrections) is -2.0 eV per formula unit.

(4)
Here is a relaxed LiAg12Se6 crystal from Alexandria via LeMat-Bulk. Energies are from PBE.

The structure belongs to space group R-3 (No. 148, hexagonal axes); the cell edges are 13.8443, 13.8443 and 7.2411 Å and the angles 90.00°, 90.00° and 120.00°. The distinct sites, in fractional coordinates, are Li at (0.0000, 0.0000, 0.0000), Ag at (0.0373, 0.2861, 0.9846), Ag at (0.0620, 0.8322, 0.3797) and Se at (0.0443, 0.8675, 0.7586).

The formation energy (no corrections) is -1.4 eV per formula unit.

(5)
Here is a relaxed Li4AgSe crystal from Alexandria via LeMat-Bulk. Energies are from PBE.

The structure belongs to space group F-43m (No. 216); the cell edges are 7.440, 7.440 and 7.440 Å and the angles 90.00°, 90.00° and 90.00°. The distinct sites, in fractional coordinates, are Li at (0.125, 0.125, 0.125), Ag at (0.000, 0.000, 0.500) and Se at (0.250, 0.250, 0.750).

The formation energy (no corrections) is -0.9 eV per formula unit.

(6)
Here is a relaxed Li2AgSe crystal from Alexandria via LeMat-Bulk. Energies are from PBE.

The structure belongs to space group Pmm2 (No. 25); the cell edges are 2.897, 4.814 and 4.892 Å and the angles 90.00°, 90.00° and 90.00°. The distinct sites, in fractional coordinates, are Li at (0.000, 0.000, 0.000), Li at (0.000, 0.500, 0.439), Ag at (0.500, 0.000, 0.495) and Se at (0.500, 0.500, 0.944).

The formation energy (no corrections) is -2.0 eV per formula unit.